Arrangement 1

# VCrC, optimized geometry, DFT PBE-GGA
# * crystal system: trigonal
# * density: 6.1 g/cm³
# * D(E_F): 1.7 states/eV/cell
data_VCrC
_cell_length_a 2.8691
_cell_length_b 2.8691
_cell_length_c 4.3631
_cell_angle_alpha 90.00
_cell_angle_beta 90.00
_cell_angle_gamma 120.00
_symmetry_space_group_name_H-M 'P 3 m 1'
_symmetry_Int_Tables_number 156
loop_
_symmetry_equiv_pos_as_xyz
'x,y,z'
'-y,x-y,z'
'-x+y,-x,z'
'-y,-x,z'
'-x+y,y,z'
'x,x-y,z'
loop_
_atom_site_label
_atom_site_type_symbol
_atom_site_fract_x
_atom_site_fract_y
_atom_site_fract_z
V1 V 0.0000 0.0000 0.0000
Cr1 Cr 0.6667 0.3333 0.5062
C1 C 0.3333 0.6667 0.2636

Arrangement 2

# VCrC, optimized geometry, DFT PBE-GGA
# * crystal system: orthorhombic
# * density: 6.1 g/cm³
# * D(E_F): 7.6 states/eV/cell
data_VCrC
_cell_length_a 4.435
_cell_length_b 4.947
_cell_length_c 5.668
_cell_angle_alpha 90.00
_cell_angle_beta 90.00
_cell_angle_gamma 90.00
_symmetry_space_group_name_H-M 'P 21 21 2'
_symmetry_Int_Tables_number 18
loop_
_symmetry_equiv_pos_as_xyz
'x,y,z'
'-x,-y,z'
'x+1/2,-y+1/2,-z'
'-x+1/2,y+1/2,-z'
loop_
_atom_site_label
_atom_site_type_symbol
_atom_site_fract_x
_atom_site_fract_y
_atom_site_fract_z
V1 V 0.233 0.176 0.140
Cr1 Cr 0.246 0.673 0.368
C1 C 0.000 0.000 0.872
C2 C 0.000 0.500 0.617

Arrangement 3

# VCrC, optimized geometry, DFT PBE-GGA
# * crystal system: orthorhombic
# * density: 6.1 g/cm³
# * D(E_F): 33.6 states/eV/cell
data_VCrC
_cell_length_a 8.847
_cell_length_b 9.859
_cell_length_c 5.702
_cell_angle_alpha 90.00
_cell_angle_beta 90.00
_cell_angle_gamma 90.00
_symmetry_space_group_name_H-M 'F d d 2'
_symmetry_Int_Tables_number 43
_symmetry_space_group_name_Hall 'F 2 -2d'
loop_
_atom_site_label
_atom_site_type_symbol
_atom_site_fract_x
_atom_site_fract_y
_atom_site_fract_z
V1 V 0.120 0.078 0.000
Cr1 Cr 0.121 0.075 0.493
C1 C 0.001 0.244 0.496

If we sort the structures by their calculated energies, the order from most to least stable is arrangement 2, arrangement 3, arrangement 1.

Arrangement 1

# V3CrC, optimized geometry, DFT PBE-GGA
# * crystal system: cubic
# * density: 4.8 g/cm³
# * D(E_F): 3.3 states/eV/cell
data_V3CrC
_cell_length_a 4.225
_cell_length_b 4.225
_cell_length_c 4.225
_cell_angle_alpha 90.00
_cell_angle_beta 90.00
_cell_angle_gamma 90.00
_symmetry_space_group_name_H-M 'P m -3 m'
_symmetry_Int_Tables_number 221
_symmetry_space_group_name_Hall '-P 4 2 3'
loop_
_atom_site_label
_atom_site_type_symbol
_atom_site_fract_x
_atom_site_fract_y
_atom_site_fract_z
V1 V 0.000 0.000 0.500
Cr1 Cr 0.000 0.000 0.000
C1 C 0.500 0.500 0.500

Arrangement 2

# V3CrC, optimized geometry, DFT PBE-GGA
# * crystal system: monoclinic
# * density: 6.2 g/cm³
# * D(E_F): 9.2 states/eV/cell
data_V3CrC
_cell_length_a 9.149
_cell_length_b 4.126
_cell_length_c 6.714
_cell_angle_alpha 90.00
_cell_angle_beta 112.68
_cell_angle_gamma 90.00
_symmetry_space_group_name_H-M 'C 1 2/m 1'
_symmetry_Int_Tables_number 12
loop_
_symmetry_equiv_pos_as_xyz
'x,y,z'
'-x,-y,-z'
'-x,y,-z'
'x,-y,z'
'x+1/2,y+1/2,z'
'-x+1/2,-y+1/2,-z'
'-x+1/2,y+1/2,-z'
'x+1/2,-y+1/2,z'
loop_
_atom_site_label
_atom_site_type_symbol
_atom_site_fract_x
_atom_site_fract_y
_atom_site_fract_z
V1 V 0.109 0.000 0.218
V2 V 0.135 0.500 0.929
V3 V 0.139 0.000 0.645
Cr1 Cr 0.119 0.500 0.443
C1 C 0.128 0.000 0.934

If we sort the structures by their calculated energies, the order from most to least stable is arrangement 2, arrangement 1.